Record 1
Material: Ac2Pm4NdSm
Method: DFT, GGA-PBE
State: relaxed

```
Ac2Pm4NdSm
1.0
-3.541 1.316 9.137
7.187 -5.601 3.838
0.862 8.201 -8.960
Nd Ac Pm Sm
2 4 8 2
Direct
0.000 0.500 0.500
0.000 0.500 0.000
0.500 0.000 0.500
0.500 0.000 0.000
0.000 0.000 0.500
0.500 0.500 0.000
0.756 0.278 0.517
0.222 0.744 0.983
0.778 0.256 0.017
0.240 0.257 0.484
0.757 0.740 0.984
0.760 0.743 0.516
0.243 0.260 0.016
0.244 0.722 0.483
0.500 0.500 0.500
0.000 0.000 0.000
```

Total magnetic moment (μB per formula unit): 0.0
DFT formation energy (eV/atom): 0.38
DOS(E_F) (states/eV/cell): 36.92

---

Record 2
Material: UBe4Nb
Method: DFT, GGA-PBE
State: relaxed

```
UBe4Nb
1.0
4.784 0.000 0.000
2.392 4.143 0.000
2.392 1.381 3.906
U Be Nb
1 4 1
Direct
0.250 0.250 0.250
0.625 0.625 0.625
0.625 0.625 0.124
0.124 0.625 0.625
0.625 0.124 0.625
0.000 0.000 0.000
```

Total magnetic moment (μB per formula unit): 1.8
DFT formation energy (eV/atom): 0.17
DOS(E_F) (states/eV/cell): 7.79

---

Record 3
Material: CePu2Sn
Method: DFT, GGA-PBE
State: relaxed

```
CePu2Sn
1.0
5.312 0.000 0.000
2.656 4.600 0.000
2.656 1.533 4.337
Ce Sn Pu
1 1 2
Direct
0.000 0.000 0.000
0.500 0.500 0.500
0.750 0.750 0.750
0.250 0.250 0.250
```

Total magnetic moment (μB per formula unit): 14.6
DFT formation energy (eV/atom): -0.16
Excess energy over the best structure of this formula in the dataset (kJ per mole of atoms): 14.74
DOS(E_F) (states/eV/cell): 11.42